# NpP2O6

An optimized crystal structure of NpP2O6 (PBE-GGA, Alexandria via LeMat-Bulk).

Cell: 5.6827 5.6827 18.3005 Å, 90.00 90.00 120.00°
Space group R3m (No. 160, hexagonal axes)
One atom of each set of equivalent atoms:
Np  0.0000  0.0000  0.0000
P  0.0000  0.0000  0.6086
P  0.0000  0.0000  0.7247
O  0.0277  0.5139  0.2551
O  0.0276  0.5138  0.4114

## Properties
**Calculated volume**: 18.96 Å³/atom
**DOS at the Fermi energy**: 0.77 states/eV/atom
**Total DFT energy (no corrections)**: -8.2058 eV/atom
**Formation energy without anion corrections**: -2.260 eV per atom